The following is a DFT calculation (PBE) of a geometry-optimized Mg3ZnS structure.

Output
distance to the lowest polymorph of the same formula: 0.273 eV/atom
E_form (uncorrected): 0.17 eV/atom

Geometry as POSCAR:
```
Mg3ZnS
1.0
4.951 0.000 0.000
0.000 4.951 0.000
0.000 0.000 4.951
Mg Zn S
3 1 1
Direct
0.000 0.500 0.000 Mg
0.000 0.000 0.500 Mg
0.500 0.000 0.000 Mg
0.000 0.000 0.000 Zn
0.500 0.500 0.500 S
```

***

The following is a DFT calculation (PBE) of a geometry-optimized CaTiO2 structure.

Output
distance to the lowest polymorph of the same formula: 0.000 eV/atom
E_form (uncorrected): -2.60 eV/atom

Geometry as POSCAR:
```
CaTiO2
1.0
3.025 -0.010 0.019
-1.485 8.184 -0.107
-0.055 -0.572 8.355
Ca Ti O
4 4 8
Direct
0.731 0.962 0.326 Ca
0.269 0.038 0.674 Ca
0.879 0.257 0.063 Ca
0.121 0.743 0.937 Ca
0.583 0.666 0.596 Ti
0.051 0.602 0.279 Ti
0.949 0.398 0.721 Ti
0.417 0.334 0.404 Ti
0.853 0.206 0.534 O
0.528 0.556 0.805 O
0.472 0.444 0.195 O
0.147 0.794 0.466 O
0.684 0.869 0.771 O
0.619 0.738 0.158 O
0.316 0.131 0.229 O
0.381 0.262 0.842 O
```

***

The following is a DFT calculation (PBE) of a geometry-optimized Mn2InI structure.

Output
distance to the lowest polymorph of the same formula: 0.096 eV/atom
E_form (uncorrected): 0.69 eV/atom

Geometry as POSCAR:
```
Mn2InI
1.0
1.572 1.891 4.259
3.079 3.835 0.001
-1.580 4.422 1.460
I Mn In
1 2 1
Direct
0.500 0.500 0.500 I
0.250 0.250 0.250 Mn
0.750 0.750 0.750 Mn
0.000 0.000 0.000 In
```

***

The following is a DFT calculation (PBE) of a geometry-optimized Sc2AgPb structure.

Output
formation energy: 38 meV per atom

Geometry as POSCAR:
```
Sc2AgPb
1.0
5.048 0.000 0.000
2.524 4.372 0.000
2.524 1.457 4.122
Ag Pb Sc
1 1 2
Direct
0.500 0.500 0.500 Ag
0.250 0.250 0.250 Pb
0.000 0.000 0.000 Sc
0.750 0.750 0.750 Sc
```

***

The following is a DFT calculation (PBE) of a geometry-optimized LiTcS3 structure.

Output
distance to the lowest polymorph of the same formula: 0.000 eV/atom
E_form (uncorrected): -0.09 eV/atom

Geometry as POSCAR:
```
LiTcS3
1.0
4.670 0.000 0.000
0.000 4.670 0.000
0.000 0.000 4.670
S Tc Li
3 1 1
Direct
0.000 0.500 0.000 S
0.000 0.000 0.500 S
0.500 0.000 0.000 S
0.000 0.000 0.000 Tc
0.500 0.500 0.500 Li
```

***

The following is a DFT calculation (PBE) of a geometry-optimized NbTc3Sb structure.

Output
distance to the lowest polymorph of the same formula: 0.000 eV/atom
E_form (uncorrected): 1.60 eV/atom

Geometry as POSCAR:
```
NbTc3Sb
1.0
4.768 0.000 0.000
0.000 4.768 0.000
0.000 0.000 4.768
Sb Nb Tc
1 1 3
Direct
0.500 0.500 0.500 Sb
0.000 0.000 0.000 Nb
0.000 0.500 0.000 Tc
0.000 0.000 0.500 Tc
0.500 0.000 0.000 Tc
```

***

The following is a DFT calculation (PBE) of a geometry-optimized Tl2Cu5Se4 structure.

Output
E_form (uncorrected): -0.08 eV/atom

Geometry as POSCAR:
```
Tl2Cu5Se4
1.0
-2.842 -4.583 -0.773
-0.671 -3.808 5.844
-7.071 0.964 1.086
Tl Cu Se
2 5 4
Direct
0.844 0.000 0.312 Tl
0.156 0.000 0.688 Tl
0.500 0.000 0.000 Cu
0.000 0.500 0.000 Cu
0.500 0.500 0.000 Cu
0.250 0.500 0.500 Cu
0.750 0.500 0.500 Cu
0.476 0.299 0.748 Se
0.524 0.701 0.252 Se
0.225 0.299 0.252 Se
0.775 0.701 0.748 Se
```

***

The following is a DFT calculation (PBE) of a geometry-optimized NaNpUO6 structure.

Output
E_form (uncorrected): -2.78 eV/atom

Geometry as POSCAR:
```
NaNpUO6
1.0
-5.413 -1.220 -0.403
3.711 -4.058 0.846
-0.956 1.106 9.494
Na Np U O
2 2 2 12
Direct
0.333 0.667 0.250 Na
0.667 0.333 0.750 Na
0.667 0.333 0.250 Np
0.333 0.667 0.750 Np
0.000 0.000 0.000 U
0.000 0.000 0.500 U
0.707 0.666 0.124 O
0.959 0.293 0.124 O
0.293 0.959 0.624 O
0.041 0.707 0.876 O
0.334 0.293 0.376 O
0.959 0.666 0.376 O
0.666 0.959 0.876 O
0.707 0.041 0.376 O
0.041 0.334 0.624 O
0.334 0.041 0.124 O
0.666 0.707 0.624 O
0.293 0.334 0.876 O
```